# 1
This record from the Alexandria database describes an optimized crystal structure of LaSiAs2. The functional is PBE.

Lattice parameters (Å, degrees): 7.5553 7.5553 7.5553 30.96 30.96 30.96
Atoms (fractional coordinates):
La: 0.0000 0.0000 0.0000
Si: 0.7632 0.7632 0.7632
As: 0.2485 0.2485 0.2485
As: 0.4811 0.4811 0.4811

Results
* M_tot: 0.001 μB per atom
* formation energy from raw total energies: -0.211 eV/atom


# 2
This record from the Alexandria database describes an optimized crystal structure of LaSi2As. The functional is PBE.

Lattice parameters (Å, degrees): 6.2532 6.2532 6.2532 107.99 107.99 112.48
Atoms (fractional coordinates):
La: 0.0000 0.0000 0.0000
La: 0.7500 0.2500 0.5000
Si: 0.1924 0.6250 0.0674
Si: 0.3750 0.4424 0.5674
Si: 0.5576 0.1250 0.9326
Si: 0.8750 0.8076 0.4326
As: 0.2500 0.7500 0.5000
As: 0.5000 0.5000 0.0000

Results
* M_tot: 0.000 μB per atom
* formation energy from raw total energies: -0.139 eV/atom


# 3
This record from the Alexandria database describes an optimized crystal structure of LaSi2As. The functional is PBE.

Lattice parameters (Å, degrees): 5.6549 5.6549 5.6549 45.90 45.90 45.90
Atoms (fractional coordinates):
La: 0.0000 0.0000 0.0000
Si: 0.4818 0.4818 0.4818
Si: 0.7896 0.7896 0.7896
As: 0.2097 0.2097 0.2097

Results
* M_tot: 0.000 μB per atom
* formation energy from raw total energies: -0.340 eV/atom


# 4
This record from the Alexandria database describes an optimized crystal structure of LaSiAs. The functional is PBE.

Lattice parameters (Å, degrees): 4.8044 4.8044 4.8044 60.00 60.00 60.00
Atoms (fractional coordinates):
La: 0.0000 0.0000 0.0000
Si: 0.7500 0.7500 0.7500
As: 0.5000 0.5000 0.5000

Results
* M_tot: 0.000 μB per atom
* formation energy from raw total energies: -0.270 eV/atom


# 5
This record from the Alexandria database describes an optimized crystal structure of LaSi2As. The functional is PBE.

Lattice parameters (Å, degrees): 4.1409 4.8731 4.6052 90.00 91.21 90.00
Atoms (fractional coordinates):
La: 0.0000 0.0000 0.0000
Si: 0.2602 0.5000 0.6428
Si: 0.7398 0.5000 0.3572
As: 0.5000 0.0000 0.5000

Results
* M_tot: 0.000 μB per atom
* formation energy from raw total energies: -0.366 eV/atom


# 6
This record from the Alexandria database describes an optimized crystal structure of La5Si2As. The functional is PBE.

Lattice parameters (Å, degrees): 8.9664 8.9664 8.9664 127.05 127.05 78.16
Atoms (fractional coordinates):
La: 0.0000 0.0000 0.0000
La: 0.0291 0.5291 0.8516
La: 0.1775 0.0291 0.5000
La: 0.3225 0.8225 0.8516
La: 0.4709 0.3225 0.5000
La: 0.5000 0.5000 0.0000
La: 0.5291 0.6775 0.5000
La: 0.6775 0.1775 0.1484
La: 0.8225 0.9709 0.5000
La: 0.9709 0.4709 0.1484
Si: 0.1149 0.3851 0.5000
Si: 0.3851 0.8851 0.2702
Si: 0.6149 0.1149 0.7298
Si: 0.8851 0.6149 0.5000
As: 0.2500 0.2500 0.0000
As: 0.7500 0.7500 0.0000

Results
* M_tot: 0.114 μB per atom
* formation energy from raw total energies: -0.767 eV/atom


# 7
This record from the Alexandria database describes an optimized crystal structure of LaSi2As. The functional is PBE.

Lattice parameters (Å, degrees): 5.0496 5.0496 5.0997 106.95 106.95 44.19
Atoms (fractional coordinates):
La: 0.0000 0.0000 0.0000
Si: 0.2303 0.2303 0.6385
Si: 0.7697 0.7697 0.3615
As: 0.5000 0.5000 0.5000

Results
* M_tot: 0.000 μB per atom
* formation energy from raw total energies: -0.426 eV/atom


# 8
This record from the Alexandria database describes an optimized crystal structure of LaSi2As. The functional is PBE.

Lattice parameters (Å, degrees): 4.9672 4.9672 4.9672 60.00 60.00 60.00
Atoms (fractional coordinates):
La: 0.0000 0.0000 0.0000
Si: 0.5000 0.5000 0.5000
Si: 0.7500 0.7500 0.7500
As: 0.2500 0.2500 0.2500

Results
* M_tot: 0.000 μB per atom
* formation energy from raw total energies: -0.021 eV/atom


# 9
This record from the Alexandria database describes an optimized crystal structure of La4SiAs. The functional is PBE.

Lattice parameters (Å, degrees): 6.2742 6.2742 6.2742 60.00 60.00 60.00
Atoms (fractional coordinates):
La: 0.1245 0.1245 0.1245
La: 0.1245 0.1245 0.6264
La: 0.1245 0.6264 0.1245
La: 0.6264 0.1245 0.1245
Si: 0.7500 0.7500 0.7500
As: 0.5000 0.5000 0.5000

Results
* M_tot: 0.000 μB per atom
* formation energy from raw total energies: 0.173 eV/atom


# 10
This record from the Alexandria database describes an optimized crystal structure of LaSi2As. The functional is PBE.

Lattice parameters (Å, degrees): 4.1970 4.3496 5.0343 90.00 92.77 90.00
Atoms (fractional coordinates):
La: 0.0000 0.0000 0.0000
Si: 0.5125 0.0000 0.4854
Si: 0.5854 0.5000 0.2746
As: 0.4593 0.5000 0.7952

Results
* M_tot: 0.000 μB per atom
* formation energy from raw total energies: -0.356 eV/atom


# 11
This record from the Alexandria database describes an optimized crystal structure of LaSi2As. The functional is PBE.

Lattice parameters (Å, degrees): 3.7123 3.7123 6.0858 90.00 90.00 90.00
Atoms (fractional coordinates):
La: 0.0000 0.0000 0.0000
Si: 0.0000 0.0000 0.4970
Si: 0.5000 0.5000 0.3181
As: 0.5000 0.5000 0.7108

Results
* M_tot: 0.000 μB per atom
* formation energy from raw total energies: -0.268 eV/atom


# 12
This record from the Alexandria database describes an optimized crystal structure of LaSi2As. The functional is PBE.

Lattice parameters (Å, degrees): 4.2871 4.2871 4.5028 90.00 90.00 90.00
Atoms (fractional coordinates):
La: 0.0000 0.0000 0.0000
Si: 0.0000 0.5000 0.5000
Si: 0.5000 0.0000 0.5000
As: 0.5000 0.5000 0.0000

Results
* M_tot: 0.000 μB per atom
* formation energy from raw total energies: -0.311 eV/atom


# 13
This record from the Alexandria database describes an optimized crystal structure of LaSi2As. The functional is PBE.

Lattice parameters (Å, degrees): 5.6142 5.6142 5.6142 136.23 132.25 66.77
Atoms (fractional coordinates):
La: 0.0000 0.0000 0.0000
Si: 0.2420 0.7420 0.5000
Si: 0.3762 0.3762 0.0000
As: 0.7461 0.2461 0.5000

Results
* M_tot: 0.000 μB per atom
* formation energy from raw total energies: -0.372 eV/atom


# 14
This record from the Alexandria database describes an optimized crystal structure of LaSiAs2. The functional is PBE.

Lattice parameters (Å, degrees): 6.2859 6.2859 6.2859 109.78 109.78 108.85
Atoms (fractional coordinates):
La: 0.0000 0.0000 0.0000
La: 0.7500 0.2500 0.5000
Si: 0.2500 0.7500 0.5000
Si: 0.5000 0.5000 0.0000
As: 0.2021 0.6250 0.0771
As: 0.3750 0.4521 0.5771
As: 0.5479 0.1250 0.9229
As: 0.8750 0.7979 0.4229

Results
* M_tot: 0.000 μB per atom
* formation energy from raw total energies: -0.546 eV/atom


# 15
This record from the Alexandria database describes an optimized crystal structure of LaSiAs2. The functional is PBE.

Lattice parameters (Å, degrees): 4.1990 4.0625 5.8519 90.00 99.17 90.00
Atoms (fractional coordinates):
La: 0.0000 0.0000 0.0000
Si: 0.5000 0.0000 0.5000
As: 0.4544 0.5000 0.7763
As: 0.5456 0.5000 0.2237

Results
* M_tot: 0.000 μB per atom
* formation energy from raw total energies: -0.462 eV/atom


# 16
This record from the Alexandria database describes an optimized crystal structure of LaSi2As. The functional is PBE.

Lattice parameters (Å, degrees): 3.6839 3.6839 6.1988 90.00 90.00 93.31
Atoms (fractional coordinates):
La: 0.0000 0.0000 0.0000
Si: 0.5000 0.5000 0.3108
Si: 0.5000 0.5000 0.6892
As: 0.0000 0.0000 0.5000

Results
* M_tot: 0.000 μB per atom
* formation energy from raw total energies: -0.222 eV/atom


# 17
This record from the Alexandria database describes an optimized crystal structure of LaSiAs. The functional is PBE.

Lattice parameters (Å, degrees): 4.9286 4.9286 4.9286 60.00 60.00 60.00
Atoms (fractional coordinates):
La: 0.0000 0.0000 0.0000
Si: 0.7500 0.7500 0.7500
As: 0.2500 0.2500 0.2500

Results
* M_tot: 0.000 μB per atom
* formation energy from raw total energies: -0.102 eV/atom


# 18
This record from the Alexandria database describes an optimized crystal structure of LaSiAs2. The functional is PBE.

Lattice parameters (Å, degrees): 5.2919 5.2919 5.2919 128.59 128.59 75.67
Atoms (fractional coordinates):
La: 0.0000 0.0000 0.0000
Si: 0.5000 0.5000 0.0000
As: 0.2500 0.7500 0.5000
As: 0.7500 0.2500 0.5000

Results
* M_tot: 0.000 μB per atom
* formation energy from raw total energies: -0.343 eV/atom


# 19
This record from the Alexandria database describes an optimized crystal structure of LaSiAs2. The functional is PBE.

Lattice parameters (Å, degrees): 5.0393 5.0393 5.0393 60.00 60.00 60.00
Atoms (fractional coordinates):
La: 0.0000 0.0000 0.0000
Si: 0.7500 0.7500 0.7500
As: 0.2500 0.2500 0.2500
As: 0.5000 0.5000 0.5000

Results
* M_tot: 0.000 μB per atom
* formation energy from raw total energies: -0.121 eV/atom


# 20
This record from the Alexandria database describes an optimized crystal structure of LaSi2As. The functional is PBE.

Lattice parameters (Å, degrees): 5.0122 5.0122 5.1569 107.78 107.78 44.31
Atoms (fractional coordinates):
La: 0.0000 0.0000 0.0000
Si: 0.2227 0.2227 0.6486
Si: 0.5205 0.5205 0.5122
As: 0.7826 0.7826 0.3661

Results
* M_tot: 0.000 μB per atom
* formation energy from raw total energies: -0.416 eV/atom